DFT (meta-GGA SCAN) results for a crystal of ZnW3Au relaxed with PBEsol.

a b c (Å): 4.4700 4.4700 4.4700
angles (deg): 90.00 90.00 90.00
Space group Pm-3m (No. 221)
One atom of each set of equivalent atoms:
1 Zn 0.0000 0.0000 0.0000 x1
2 W 0.0000 0.0000 0.5000 x3
3 Au 0.5000 0.5000 0.5000 x1

Calculated values
N(E_F): 2.71 states/eV/f.u.
Total magnetization: 0.00 μB per atom
Calculated formation energy: 2.006 eV per atom